A relaxed structure of CsLaInSe3. Source: Alexandria via LeMat-Bulk, functional PBE.

Cell and atoms, written as POSCAR:
```
CsLaInSe3
1.0
9.377 0.000 0.000
0.000 4.920 0.000
-3.361 0.000 10.021
Cs La In Se
2 2 2 6
Direct
0.221 0.250 0.242
0.779 0.750 0.758
0.326 0.750 0.864
0.674 0.250 0.136
0.117 0.250 0.600
0.883 0.750 0.400
0.114 0.250 0.855
0.206 0.750 0.545
0.479 0.750 0.151
0.521 0.250 0.849
0.794 0.250 0.455
0.886 0.750 0.145
```

Summary:
As for the density of states at the Fermi level: 2.44 states/eV per cell. As for the symmetry: P2_1/m. For the volume, the calculation gives 462.3 Å³ per cell. For the total energy, the calculation gives -26.6 eV/f.u.